Computed, not measured: crystalline AlTlV3 at its relaxed geometry at the PBE-GGA level of DFT.

Properties
Energy relative to the lowest polymorph listed for this composition, eV/atom: 0.7112
Size of the total moment, Bohr magnetons per cell: 7.94
Formation energy from the elements, eV/atom: 1.80
Final energy, eV per atom: -4.888

Cell: 5.0306 5.0306 5.0306 Å, 90.00 90.00 90.00°
Space group Pm-3m (No. 221)
Inequivalent atoms, fractional coordinates:
Al: 0.0000 0.0000 0.0000 (multiplicity 1)
Tl: 0.5000 0.5000 0.5000 (multiplicity 1)
V: 0.0000 0.5000 0.5000 (multiplicity 3)